VASP calculation (meta-GGA SCAN) on K5Mo4O14F at its PBEsol-relaxed geometry.

Space group: No. 15
D(E_F): 0.00 states/eV/f.u.
Total moment: 0.00 μB/f.u.
ΔE_f (raw): -2.320 eV/atom

Cell and atoms, written as POSCAR:
```
K5Mo4O14F
1.0
8.8858 -5.2832 0.0000
8.8858 5.2832 0.0000
-1.2010 0.0000 8.4147
K Mo O F
10 8 28 2
Direct
0.0655 0.9345 0.7500 K
0.0961 0.3416 0.1455 K
0.3215 0.4540 0.7254 K
0.3416 0.0961 0.6455 K
0.4540 0.3215 0.2254 K
0.5460 0.6785 0.7746 K
0.6584 0.9039 0.3545 K
0.6785 0.5460 0.2746 K
0.9039 0.6584 0.8545 K
0.9345 0.0655 0.2500 K
0.0697 0.6376 0.4106 Mo
0.1964 0.7020 0.0734 Mo
0.2980 0.8036 0.4266 Mo
0.3624 0.9303 0.0894 Mo
0.6376 0.0697 0.9106 Mo
0.7020 0.1964 0.5734 Mo
0.8036 0.2980 0.9266 Mo
0.9303 0.3624 0.5894 Mo
0.0234 0.8262 0.9949 O
0.0314 0.6946 0.6084 O
0.0859 0.3608 0.6962 O
0.1208 0.7589 0.3106 O
0.1738 0.9766 0.5051 O
0.1889 0.5350 0.0550 O
0.2095 0.4559 0.4030 O
0.2411 0.8792 0.1894 O
0.3054 0.9686 0.8916 O
0.3158 0.6812 0.9328 O
0.3188 0.6842 0.5672 O
0.3608 0.0859 0.1962 O
0.4559 0.2095 0.9030 O
0.4650 0.8111 0.4450 O
0.5350 0.1889 0.5550 O
0.5441 0.7905 0.0970 O
0.6392 0.9141 0.8038 O
0.6812 0.3158 0.4328 O
0.6842 0.3188 0.0672 O
0.6946 0.0314 0.1084 O
0.7589 0.1208 0.8106 O
0.7905 0.5441 0.5970 O
0.8111 0.4650 0.9450 O
0.8262 0.0234 0.4949 O
0.8792 0.2411 0.6894 O
0.9141 0.6392 0.3038 O
0.9686 0.3054 0.3916 O
0.9766 0.1738 0.0051 O
0.3883 0.6117 0.2500 F
0.6117 0.3883 0.7500 F
```